(1)
Below is an optimized crystal structure of NpCo2HO6, with properties calculated at the GGA+U level.

Values from the calculation:
- Calculated total energy: -7.259 eV/atom
- Magnetic moment: 4.00 μB/cell

Cell and atoms, written as extended XYZ:
```
10
Lattice="-3.8666 -2.9899 -2.0564 -0.1447 -5.2059 0.6205 -4.3384 -0.2924 3.2043" Properties=species:S:1:pos:R:3 pbc="T T T"
Np -5.6290 -3.0974 2.7034
Co -3.6277 -5.3276 0.6017
Co -8.1375 -3.3596 1.1636
H -6.7304 -5.3359 0.8287
O -3.2332 -3.6276 -0.3016
O -1.7015 -0.8973 0.2310
O -4.5334 -6.5127 -0.7605
O -4.8825 -4.9495 2.0528
O -6.3728 -2.6228 0.9608
O -3.6695 -2.0178 2.4242
```



(2)
Below is an optimized crystal structure of NpCoHO6, with properties calculated at the GGA+U level.

Values from the calculation:
- Calculated total energy: -7.084 eV/atom
- Magnetic moment: 2.00 μB/cell

Cell and atoms, written as extended XYZ:
```
18
Lattice="-1.9866 3.1014 -2.9212 -2.1148 -3.5159 -2.2946 -7.0803 0.6594 5.5152" Properties=species:S:1:pos:R:3 pbc="T T T"
Np -3.1608 -0.1039 -1.7432
Np -4.6502 0.4331 3.6223
Co -7.8749 0.3352 1.9288
Co -2.2840 0.2127 1.7791
H -6.3277 0.1911 0.7236
H -0.7368 0.0686 0.5739
O -5.5333 -1.9993 0.2730
O -5.4515 2.2259 -0.1271
O -8.2912 0.5179 3.7733
O -9.7739 0.3681 1.8878
O -3.2254 -2.2847 -1.5191
O -3.1408 2.0811 -1.9325
O -6.0255 0.2984 1.9191
O -7.4210 0.1574 0.1444
O -7.7641 2.2658 1.6883
O -7.8392 -1.6091 2.0552
O -5.1114 -0.0872 -1.9666
O -3.4117 0.0845 0.1950
```



Repeat the second record exactly.
Below is an optimized crystal structure of NpCoHO6, with properties calculated at the GGA+U level.

Values from the calculation:
- Calculated total energy: -7.084 eV/atom
- Magnetic moment: 2.00 μB/cell

Cell and atoms, written as extended XYZ:
```
18
Lattice="-1.9866 3.1014 -2.9212 -2.1148 -3.5159 -2.2946 -7.0803 0.6594 5.5152" Properties=species:S:1:pos:R:3 pbc="T T T"
Np -3.1608 -0.1039 -1.7432
Np -4.6502 0.4331 3.6223
Co -7.8749 0.3352 1.9288
Co -2.2840 0.2127 1.7791
H -6.3277 0.1911 0.7236
H -0.7368 0.0686 0.5739
O -5.5333 -1.9993 0.2730
O -5.4515 2.2259 -0.1271
O -8.2912 0.5179 3.7733
O -9.7739 0.3681 1.8878
O -3.2254 -2.2847 -1.5191
O -3.1408 2.0811 -1.9325
O -6.0255 0.2984 1.9191
O -7.4210 0.1574 0.1444
O -7.7641 2.2658 1.6883
O -7.8392 -1.6091 2.0552
O -5.1114 -0.0872 -1.9666
O -3.4117 0.0845 0.1950
```



Q: Which formula does entry 2 have?
A: NpCoHO6



Q: Which value of calculated total energy does entry 1 give?
A: -7.259 eV/atom